Record 1
Entry from the Alexandria database: a geometry-optimized Er5Si2As structure (PBE).

a = 7.5365 Å, b = 7.5365 Å, c = 8.4803 Å
α = 116.38°, β = 116.38°, γ = 90.00°
With the nearest neighbours (Å) after each atom.
Sites, in units of the cell vectors:
Si  0.6348  0.1348  0.0000  1 Si 2.87, 8 Er 2.89-2.95
Er  0.5000  0.5000  0.0000  4 Si 2.93
As  0.2500  0.2500  0.5000  10 Er 3.15-3.30
Er  0.0000  0.0000  0.0000  4 Si 2.93
Er  0.3074  0.8074  0.2899  3 Si 2.89-2.95, 2 As 3.15
Si  0.8652  0.6348  0.0000  1 Si 2.87, 8 Er 2.89-2.95
Si  0.1348  0.3652  0.0000  1 Si 2.87, 8 Er 2.89-2.95
Er  0.0175  0.5175  0.7101  3 Si 2.89-2.95, 2 As 3.15
Si  0.3652  0.8652  0.0000  1 Si 2.87, 8 Er 2.89-2.95
Er  0.9825  0.4825  0.2899  3 Si 2.89-2.95, 2 As 3.15
Er  0.6926  0.1926  0.7101  3 Si 2.89-2.95, 2 As 3.15
Er  0.1926  0.0175  0.7101  3 Si 2.89-2.95, 2 As 3.15
Er  0.4825  0.3074  0.2899  3 Si 2.89-2.95, 2 As 3.15
Er  0.5175  0.6926  0.7101  3 Si 2.89-2.95, 2 As 3.15
As  0.7500  0.7500  0.5000  10 Er 3.15-3.30
Er  0.8074  0.9825  0.2899  3 Si 2.89-2.95, 2 As 3.15

D(E_F)   1.0754 states/eV per atom
E_form (uncorrected)   -0.76 eV/atom
Mass density   8.6 g/cm3
E   -5.55 eV/atom

Record 2
Entry from the Alexandria database: a geometry-optimized Er2SiAs structure (PBE).

a = 3.9174 Å, b = 4.1808 Å, c = 11.2835 Å
α = 100.68°, β = 90.00°, γ = 90.00°
With the nearest neighbours (Å) after each atom.
Sites, in units of the cell vectors:
Si  0.2500  0.4624  0.9247  2 Si 2.57
Er  0.7500  0.9358  0.8715  1 As 2.75, 6 Si 2.92-3.08
Si  0.7500  0.5376  0.0753  2 Si 2.57
Er  0.7500  0.6837  0.3674  5 As 2.84-2.87
Er  0.2500  0.0642  0.1285  1 As 2.75, 6 Si 2.92-3.08
As  0.7500  0.8117  0.6234  6 Er 2.75-2.87
Er  0.2500  0.3163  0.6326  5 As 2.84-2.87
As  0.2500  0.1883  0.3766  6 Er 2.75-2.87

D(E_F)   0.3347 states/eV per atom
E_form (uncorrected)   -1.13 eV/atom
Mass density   8.0 g/cm3
E   -5.93 eV/atom

Record 3
Entry from the Alexandria database: a geometry-optimized Er2SiAs structure (PBE).

a = 3.9667 Å, b = 3.9667 Å, c = 7.3798 Å
α = 74.41°, β = 74.41°, γ = 60.00°
With the nearest neighbours (Å) after each atom.
Sites, in units of the cell vectors:
Er  0.2524  0.2524  0.2427  3 As 2.85, 3 Si 2.92
As  0.0000  0.0000  0.0000  6 Er 2.85
Er  0.7476  0.7476  0.7573  3 As 2.85, 3 Si 2.92
Si  0.5000  0.5000  0.5000  6 Er 2.92

D(E_F)   0.2676 states/eV per atom
E_form (uncorrected)   -0.98 eV/atom
Mass density   7.6 g/cm3
E   -5.78 eV/atom